Density functional theory data (PBE) for a relaxed structure of SiPb3Au8.

Values from the calculation:
The raw formation energy is -0.011 eV/atom.

abc: 9.7501 9.7501 6.1757
angles: 90.00 90.00 120.00
Closest atoms and distances in Å follow each position.
Fractional coordinates of all 24 atoms:
Si (0.3333, 0.6667, 0.0000)  7 Au 2.42-2.67
Si (0.6667, 0.3333, 0.5000)  7 Au 2.42-2.67
Pb (0.1523, 0.3045, 0.7327)  8 Au 3.00-3.27
Pb (0.1523, 0.8477, 0.7327)  8 Au 3.00-3.27
Pb (0.3045, 0.1523, 0.2327)  8 Au 3.00-3.27
Pb (0.6955, 0.8477, 0.7327)  8 Au 3.00-3.27
Pb (0.8477, 0.1523, 0.2327)  8 Au 3.00-3.27
Pb (0.8477, 0.6955, 0.2327)  8 Au 3.00-3.27
Au (0.0000, 0.0000, 0.4825)  6 Pb 3.00, 2 Au 3.09
Au (0.0000, 0.0000, 0.9825)  6 Pb 3.00, 2 Au 3.09
Au (0.0169, 0.5085, 0.9836)  1 Si 2.67, 4 Au 2.95-2.97
Au (0.2141, 0.4282, 0.2576)  1 Si 2.57
Au (0.2141, 0.7859, 0.2576)  1 Si 2.57
Au (0.3333, 0.6667, 0.6078)  1 Si 2.42
Au (0.4282, 0.2141, 0.7576)  1 Si 2.57
Au (0.4915, 0.5085, 0.9836)  1 Si 2.67, 4 Au 2.95-2.97
Au (0.4915, 0.9831, 0.9836)  1 Si 2.67, 4 Au 2.95-2.97
Au (0.5085, 0.0169, 0.4836)  1 Si 2.67, 4 Au 2.95-2.97
Au (0.5085, 0.4915, 0.4836)  1 Si 2.67, 4 Au 2.95-2.97
Au (0.5718, 0.7859, 0.2576)  1 Si 2.57
Au (0.6667, 0.3333, 0.1078)  1 Si 2.42
Au (0.7859, 0.2141, 0.7576)  1 Si 2.57
Au (0.7859, 0.5718, 0.7576)  1 Si 2.57
Au (0.9831, 0.4915, 0.4836)  1 Si 2.67, 4 Au 2.95-2.97



Density functional theory data (PBE) for a relaxed structure of YCr2W.

Values from the calculation:
For the energy of formation from the pure elements, the calculation gives 668 meV per atom. As for the offset from the most stable computed form: 28.2 kJ/mol of atoms.

abc: 6.4951 6.4951 6.4951
angles: 90.00 90.00 90.00
Closest atoms and distances in Å follow each position.
Fractional coordinates of all 16 atoms:
Y (0.0000, 0.0000, 0.0000)  4 Cr 2.81, 4 W 2.81
Y (0.0000, 0.5000, 0.5000)  4 Cr 2.81, 4 W 2.81
Y (0.5000, 0.0000, 0.5000)  4 Cr 2.81, 4 W 2.81
Y (0.5000, 0.5000, 0.0000)  4 Cr 2.81, 4 W 2.81
Cr (0.0000, 0.0000, 0.5000)  4 Cr 2.81, 4 W 2.81
Cr (0.0000, 0.5000, 0.0000)  4 Cr 2.81, 4 W 2.81
Cr (0.2500, 0.2500, 0.7500)  4 Y 2.81, 4 Cr 2.81
Cr (0.2500, 0.7500, 0.2500)  4 Y 2.81, 4 Cr 2.81
Cr (0.5000, 0.0000, 0.0000)  4 Cr 2.81, 4 W 2.81
Cr (0.5000, 0.5000, 0.5000)  4 Cr 2.81, 4 W 2.81
Cr (0.7500, 0.2500, 0.2500)  4 Y 2.81, 4 Cr 2.81
Cr (0.7500, 0.7500, 0.7500)  4 Y 2.81, 4 Cr 2.81
W (0.2500, 0.2500, 0.2500)  4 Cr 2.81, 4 Y 2.81
W (0.2500, 0.7500, 0.7500)  4 Cr 2.81, 4 Y 2.81
W (0.7500, 0.2500, 0.7500)  4 Cr 2.81, 4 Y 2.81
W (0.7500, 0.7500, 0.2500)  4 Cr 2.81, 4 Y 2.81



Density functional theory data (PBE) for a relaxed structure of YMgTl2.

Values from the calculation:
For the energy of formation from the pure elements, the calculation gives -185 meV per atom.

abc: 4.5464 4.5464 10.2001
angles: 90.00 90.00 90.00
Closest atoms and distances in Å follow each position.
Fractional coordinates of all 8 atoms:
Y (0.0000, 0.0000, 0.0000)  8 Tl 3.21-3.42, 4 Mg 3.42
Y (0.5000, 0.5000, 0.5000)  8 Tl 3.21-3.42, 4 Mg 3.42
Mg (0.0000, 0.5000, 0.2500)  8 Tl 3.21-3.42, 4 Y 3.42
Mg (0.5000, 0.0000, 0.7500)  8 Tl 3.21-3.42, 4 Y 3.42
Tl (0.0000, 0.0000, 0.5000)  4 Y 3.21, 4 Tl 3.42, 4 Mg 3.42
Tl (0.0000, 0.5000, 0.7500)  4 Mg 3.21, 4 Tl 3.42, 4 Y 3.42
Tl (0.5000, 0.0000, 0.2500)  4 Mg 3.21, 4 Tl 3.42, 4 Y 3.42
Tl (0.5000, 0.5000, 0.0000)  4 Y 3.21, 4 Tl 3.42, 4 Mg 3.42



Density functional theory data (PBE) for a relaxed structure of AcCeGa.

Values from the calculation:
For the energy of formation from the pure elements, the calculation gives -146 meV per atom. As for the offset from the most stable computed form: 20.0 kJ/mol of atoms.

abc: 5.0353 5.0353 4.0404
angles: 90.00 90.00 120.00
Closest atoms and distances in Å follow each position.
Fractional coordinates of all 3 atoms:
Ac (0.0000, 0.0000, 0.0000)  3 Ga 3.26, 3 Ce 3.33
Ce (0.3333, 0.6667, 0.5979)  3 Ga 3.05, 3 Ac 3.33
Ga (0.6667, 0.3333, 0.3677)  3 Ce 3.05, 3 Ac 3.26



Density functional theory data (PBE) for a relaxed structure of PuAsSe2.

Values from the calculation:
The raw formation energy is -0.109 eV/atom.

abc: 3.8022 3.8022 26.5357
angles: 90.00 90.00 120.00
Closest atoms and distances in Å follow each position.
Fractional coordinates of all 12 atoms:
Pu (0.0000, 0.0000, 0.0000)  2 Se 2.86
Pu (0.3333, 0.6667, 0.6667)  2 Se 2.86
Pu (0.6667, 0.3333, 0.3333)  2 Se 2.86
As (0.0000, 0.0000, 0.5000)  6 Se 2.69
As (0.3333, 0.6667, 0.1667)  6 Se 2.69
As (0.6667, 0.3333, 0.8333)  6 Se 2.69
Se (0.0000, 0.0000, 0.1079)  3 As 2.69, 1 Pu 2.86
Se (0.0000, 0.0000, 0.8921)  3 As 2.69, 1 Pu 2.86
Se (0.3333, 0.6667, 0.5587)  3 As 2.69, 1 Pu 2.86
Se (0.3333, 0.6667, 0.7746)  3 As 2.69, 1 Pu 2.86
Se (0.6667, 0.3333, 0.2254)  3 As 2.69, 1 Pu 2.86
Se (0.6667, 0.3333, 0.4413)  3 As 2.69, 1 Pu 2.86



Density functional theory data (PBE) for a relaxed structure of Na2CaAlH6.

Values from the calculation:
The total energy is -30.046 eV/f.u.

abc: 5.1946 7.6945 6.2300
angles: 90.00 90.00 90.00
Closest atoms and distances in Å follow each position.
Fractional coordinates of all 20 atoms:
Na (0.2500, 0.0320, 0.1750)  5 H 2.27-2.49
Na (0.2500, 0.4680, 0.1750)  5 H 2.27-2.49
Na (0.7500, 0.5320, 0.8250)  5 H 2.27-2.49
Na (0.7500, 0.9680, 0.8250)  5 H 2.27-2.49
Ca (0.2500, 0.2500, 0.6772)  6 H 2.26-2.34
Ca (0.7500, 0.7500, 0.3228)  6 H 2.26-2.34
Al (0.2500, 0.7500, 0.8045)  6 H 1.73-1.81
Al (0.7500, 0.2500, 0.1955)  6 H 1.73-1.81
H (0.0025, 0.2500, 0.3769)  1 Al 1.73
H (0.0160, 0.7500, 0.0205)  1 Al 1.81
H (0.2500, 0.5211, 0.8164)  1 Al 1.76
H (0.2500, 0.9789, 0.8164)  1 Al 1.76
H (0.4840, 0.7500, 0.0205)  1 Al 1.81
H (0.4975, 0.2500, 0.3769)  1 Al 1.73
H (0.5025, 0.7500, 0.6231)  1 Al 1.73
H (0.5160, 0.2500, 0.9795)  1 Al 1.81
H (0.7500, 0.0211, 0.1836)  1 Al 1.76
H (0.7500, 0.4789, 0.1836)  1 Al 1.76
H (0.9840, 0.2500, 0.9795)  1 Al 1.81
H (0.9975, 0.7500, 0.6231)  1 Al 1.73



Density functional theory data (PBE) for a relaxed structure of MgPaCo2P2.

Values from the calculation:
For the energy of formation from the pure elements, the calculation gives -785 meV per atom.

abc: 3.8774 3.8774 7.1444
angles: 90.00 90.00 120.00
Closest atoms and distances in Å follow each position.
Fractional coordinates of all 6 atoms:
Mg (0.0000, 0.0000, 0.0000)  6 P 2.80, 6 Co 2.87
Pa (0.0000, 0.0000, 0.5000)  6 Co 2.86, 6 P 2.93
Co (0.3333, 0.6667, 0.2504)  3 P 2.24
Co (0.6667, 0.3333, 0.7496)  3 P 2.24
P (0.3333, 0.6667, 0.7640)  3 Co 2.24
P (0.6667, 0.3333, 0.2360)  3 Co 2.24



Density functional theory data (PBE) for a relaxed structure of Ce3Bi4Rh3.

Values from the calculation:
For the energy of formation from the pure elements, the calculation gives -687 meV per atom.

abc: 8.6164 8.6164 8.6164
angles: 109.47 109.47 109.47
Closest atoms and distances in Å follow each position.
Fractional coordinates of all 20 atoms:
Ce (0.1250, 0.8750, 0.2500)  4 Rh 3.05
Ce (0.2500, 0.1250, 0.8750)  4 Rh 3.05
Ce (0.3750, 0.6250, 0.7500)  4 Rh 3.05
Ce (0.6250, 0.7500, 0.3750)  4 Rh 3.05
Ce (0.7500, 0.3750, 0.6250)  4 Rh 3.05
Ce (0.8750, 0.2500, 0.1250)  4 Rh 3.05
Bi (0.0000, 0.1718, 0.5000)  3 Rh 2.79
Bi (0.0000, 0.6718, 0.5000)  3 Rh 2.79
Bi (0.1718, 0.5000, 0.0000)  3 Rh 2.79
Bi (0.3282, 0.3282, 0.3282)  3 Rh 2.79
Bi (0.5000, 0.0000, 0.1718)  3 Rh 2.79
Bi (0.5000, 0.0000, 0.6718)  3 Rh 2.79
Bi (0.6718, 0.5000, 0.0000)  3 Rh 2.79
Bi (0.8282, 0.8282, 0.8282)  3 Rh 2.79
Rh (0.1250, 0.7500, 0.8750)  4 Bi 2.79, 4 Ce 3.05
Rh (0.2500, 0.6250, 0.3750)  4 Bi 2.79, 4 Ce 3.05
Rh (0.3750, 0.2500, 0.6250)  4 Bi 2.79, 4 Ce 3.05
Rh (0.6250, 0.3750, 0.2500)  4 Bi 2.79, 4 Ce 3.05
Rh (0.7500, 0.8750, 0.1250)  4 Bi 2.79, 4 Ce 3.05
Rh (0.8750, 0.1250, 0.7500)  4 Bi 2.79, 4 Ce 3.05



Density functional theory data (PBE) for a relaxed structure of Al2TlCr.

Values from the calculation:
For the energy of formation from the pure elements, the calculation gives 416 meV per atom. As for the offset from the most stable computed form: 24.2 kJ/mol of atoms.

abc: 3.0635 4.7776 5.2635
angles: 90.00 96.17 90.00
Closest atoms and distances in Å follow each position.
Fractional coordinates of all 4 atoms:
Al (0.1839, 0.0000, 0.2851)  2 Al 2.63-2.82, 2 Cr 2.77, 2 Tl 2.85
Al (0.8161, 0.0000, 0.7149)  2 Al 2.63-2.82, 2 Cr 2.77, 2 Tl 2.85
Tl (0.0000, 0.5000, 0.0000)  4 Al 2.85, 4 Cr 2.90-3.18, 2 Tl 3.06
Cr (0.5000, 0.5000, 0.5000)  4 Al 2.77, 2 Tl 2.90, 2 Cr 3.06



Density functional theory data (PBE) for a relaxed structure of TiAlSiGe2.

Values from the calculation:
The raw formation energy is 0.625 eV/atom.

abc: 4.7194 4.7194 4.7814
angles: 90.00 90.00 90.00
Closest atoms and distances in Å follow each position.
Fractional coordinates of all 5 atoms:
Ti (0.0000, 0.0000, 0.0000)  2 Si 2.39
Al (0.5000, 0.5000, 0.0000)  4 Ti 3.34, 8 Ge 3.36
Si (0.0000, 0.0000, 0.5000)  4 Ge 2.36, 2 Ti 2.39
Ge (0.0000, 0.5000, 0.5000)  2 Si 2.36
Ge (0.5000, 0.0000, 0.5000)  2 Si 2.36



Density functional theory data (PBE) for a relaxed structure of CsBiMo2Pd.

Values from the calculation:
For the energy of formation from the pure elements, the calculation gives 1975 meV per atom.

abc: 5.3609 5.3609 7.0305
angles: 90.00 90.00 90.00
Closest atoms and distances in Å follow each position.
Fractional coordinates of all 5 atoms:
Cs (0.0000, 0.0000, 0.0000)  2 Bi 3.52, 4 Pd 3.79
Bi (0.0000, 0.0000, 0.5000)  4 Mo 2.68
Mo (0.0000, 0.5000, 0.5000)  2 Bi 2.68
Mo (0.5000, 0.0000, 0.5000)  2 Bi 2.68
Pd (0.5000, 0.5000, 0.0000)  4 Cs 3.79



Density functional theory data (PBE) for a relaxed structure of KTi2Pd.

Values from the calculation:
For the energy of formation from the pure elements, the calculation gives 726 meV per atom. As for the offset from the most stable computed form: 0.0 kJ/mol of atoms.

abc: 6.7082 6.7082 6.7082
angles: 90.00 90.00 90.00
Closest atoms and distances in Å follow each position.
Fractional coordinates of all 16 atoms:
K (0.0000, 0.0000, 0.0000)  8 Ti 2.90
K (0.0000, 0.5000, 0.5000)  8 Ti 2.90
K (0.5000, 0.0000, 0.5000)  8 Ti 2.90
K (0.5000, 0.5000, 0.0000)  8 Ti 2.90
Ti (0.2500, 0.2500, 0.2500)  4 K 2.90, 4 Pd 2.90
Ti (0.2500, 0.2500, 0.7500)  4 K 2.90, 4 Pd 2.90
Ti (0.2500, 0.7500, 0.2500)  4 K 2.90, 4 Pd 2.90
Ti (0.2500, 0.7500, 0.7500)  4 K 2.90, 4 Pd 2.90
Ti (0.7500, 0.2500, 0.2500)  4 K 2.90, 4 Pd 2.90
Ti (0.7500, 0.2500, 0.7500)  4 K 2.90, 4 Pd 2.90
Ti (0.7500, 0.7500, 0.2500)  4 K 2.90, 4 Pd 2.90
Ti (0.7500, 0.7500, 0.7500)  4 K 2.90, 4 Pd 2.90
Pd (0.0000, 0.0000, 0.5000)  8 Ti 2.90
Pd (0.0000, 0.5000, 0.0000)  8 Ti 2.90
Pd (0.5000, 0.0000, 0.0000)  8 Ti 2.90
Pd (0.5000, 0.5000, 0.5000)  8 Ti 2.90



Q: What is the formula in the second record?
A: YCr2W



Q: What is the formula in the ninth record?
A: Al2TlCr